The following is a DFT calculation (PBE-GGA) of a relaxed Hf6ScGa5 crystal.

Results
Calculated total energy = -168.182 eV for the cell shown
D(E_F) = 20.83 states/eV/cell

Cell lengths 9.592, 10.190, 5.202 Å; angles 90.00, 109.69, 90.00 degrees
Space group C2/m (No. 12)
One atom of each set of equivalent atoms:
Hf 0.215 0.000 0.233
Hf 0.218 0.185 0.728
Sc 0.000 0.500 0.000
Ga 0.000 0.000 0.500
Ga 0.000 0.201 0.000
Ga 0.000 0.371 0.500